VASP calculation (PBE+U) on a relaxed AcCoBiO6 crystal.

Geometry as POSCAR:
```
AcCoBiO6
1.0
5.309 0.000 0.000
-2.655 4.598 0.000
0.000 0.000 5.403
Ac Co Bi O
1 1 1 6
Direct
0.000 0.000 0.000 Ac
0.667 0.333 0.500 Co
0.333 0.667 0.500 Bi
0.392 0.034 0.709 O
0.392 0.358 0.291 O
0.642 0.034 0.291 O
0.642 0.608 0.709 O
0.966 0.358 0.709 O
0.966 0.608 0.291 O
```

As for the volume: 14.653 Å³ per atom. The calculation puts the density of states at the Fermi level at 5.44 states/eV per cell. Its crystal system is trigonal. The uncorrected energy comes out at -0.4612 Ry per atom.